Below is a geometry-optimized PrTc4Ge4 structure, with properties calculated at the PBE level.

a = 8.363 Å, b = 8.363 Å, c = 4.753 Å
α = 90.00°, β = 90.00°, γ = 90.00°
Sites, in units of the cell vectors:
Pr1 0.250 0.250 0.250
Pr2 0.750 0.750 0.750
Tc1 0.127 0.862 0.674
Tc2 0.138 0.627 0.174
Tc3 0.362 0.873 0.174
Tc4 0.373 0.638 0.674
Tc5 0.627 0.362 0.326
Tc6 0.638 0.127 0.826
Tc7 0.862 0.373 0.826
Tc8 0.873 0.138 0.326
Ge1 0.039 0.900 0.183
Ge2 0.100 0.539 0.683
Ge3 0.400 0.961 0.683
Ge4 0.461 0.600 0.183
Ge5 0.539 0.400 0.817
Ge6 0.600 0.039 0.317
Ge7 0.900 0.461 0.317
Ge8 0.961 0.100 0.817

Results
Space group = P4_2/n (86)
Calculated volume = 18.47 Å³ per atom
Electronic total energy = -7.377 eV/atom
DOS(E_F) = 6.6 states/eV/f.u.